DFT (PBE-GGA) results for LaTh2Zr after structural relaxation.

Values from the calculation:
- DFT formation energy: 212 meV/atom
- Offset from the most stable computed form: 0.1188 eV/atom
- SG: R-3m (166)

Cell: 3.428 3.428 12.236 Å, 81.95 81.95 60.00°
Element x y z (fractional)
La 0.000 0.000 0.000
Th 0.091 0.091 0.728
Th 0.909 0.909 0.272
Zr 0.500 0.500 0.500